DFT (PBE) results for a relaxed structure of HfSn2C.

Summary:
Total magnetic moment   0.00 μB/f.u.
Calculated density   9.639 Mg/m³
Energy   -24.80 eV/f.u.
Crystal system   hexagonal

Cell: 3.305 3.305 15.586 Å, 90.00 90.00 120.00°
Fractional coordinates of all 8 atoms:
C  0.000  0.000  0.000
C  0.000  0.000  0.500
Hf  0.667  0.333  0.250
Hf  0.333  0.667  0.750
Sn  0.333  0.667  0.091
Sn  0.333  0.667  0.409
Sn  0.667  0.333  0.591
Sn  0.667  0.333  0.909